Entry from the Alexandria database: a PBEsol-optimized structure of LaAlW (SCAN).

The structure belongs to space group P3m1 (No. 156); the cell edges are 2.9501, 2.9501 and 7.9078 Å and the angles 90.00°, 90.00° and 120.00°. The inequivalent atoms are La at (0.0000, 0.0000, 0.0000), Al at (0.6667, 0.3333, 0.3666) and W at (0.3333, 0.6667, 0.6394).

The value obtained for the energy relative to the lowest polymorph listed for this composition is 172.8 meV/atom. For the calculated formation energy, the calculation gives 531 meV/atom. The calculation puts the total magnetic moment at 0.0 μB per formula unit. As for the total energy: -39.650 eV per atom.